CeScHgH | the Alexandria database | PBE | relaxed; electronic total energy = -33.97 eV/cell; space group = No. 129; spin magnetization = 0.000 μB/atom
1.0
-2.075 0.623 3.282
-0.265 -3.882 0.569
8.153 0.194 5.118
Ce Sc Hg H
2 2 2 2
direct
0.250 0.750 0.500 Ce
0.750 0.250 0.500 Ce
0.750 0.750 0.903 Sc
0.250 0.250 0.097 Sc
0.750 0.750 0.230 Hg
0.250 0.250 0.770 Hg
0.750 0.250 0.000 H
0.250 0.750 0.000 H

CeHoH2 | the Alexandria database | PBE | relaxed; space group = No. 160; spin magnetization = 0.208 μB/atom; offset from the most stable computed form = 78 meV/atom
1.0
-0.597 3.310 -0.487
-0.507 1.191 -3.142
-6.321 0.513 -0.623
Ce Ho H
1 1 2
direct
0.494 0.494 0.518 Ce
0.669 0.669 0.992 Ho
0.075 0.075 0.774 H
0.261 0.261 0.216 H

Ce2HoH | the Alexandria database | PBE | relaxed; space group = No. 123; spin magnetization = 0.003 μB/atom; offset from the most stable computed form = 142 meV/atom
1.0
-2.234 2.305 -0.333
-1.766 -1.978 -1.840
-3.973 -2.855 6.882
H Ho Ce
1 1 2
direct
0.500 0.500 0.000 H
0.500 0.500 0.500 Ho
0.000 0.000 0.836 Ce
0.000 0.000 0.164 Ce

CeHoH | the Alexandria database | PBE | relaxed; space group = No. 14; spin magnetization = 0.304 μB/atom; offset from the most stable computed form = 0 meV/atom
1.0
-4.084 3.114 2.483
-4.852 -5.420 -1.183
-1.135 -5.411 4.920
H Ho Ce
4 4 4
direct
0.854 0.665 0.919 H
0.354 0.835 0.581 H
0.146 0.335 0.081 H
0.646 0.165 0.419 H
0.738 0.830 0.589 Ho
0.238 0.670 0.911 Ho
0.262 0.170 0.411 Ho
0.762 0.330 0.089 Ho
0.749 0.834 0.092 Ce
0.249 0.666 0.408 Ce
0.251 0.166 0.908 Ce
0.751 0.334 0.592 Ce

CeHoH4 | the Alexandria database | PBE | relaxed; electronic total energy = -27.65 eV/cell; space group = No. 123; spin magnetization = 0.141 μB/atom
1.0
-3.493 0.977 0.817
0.415 -1.382 3.427
1.741 4.785 1.718
Ce Ho H
1 1 4
direct
0.501 0.497 0.998 Ce
0.001 0.997 0.498 Ho
0.501 0.997 0.264 H
0.501 0.997 0.732 H
0.001 0.497 0.732 H
0.001 0.497 0.264 H

CeHo3H8 | the Alexandria database | PBE | relaxed; electronic total energy = -54.50 eV/cell; space group = No. 221; spin magnetization = 0.061 μB/atom
1.0
-0.832 -1.836 -4.824
-0.195 -4.871 1.888
-5.158 0.481 0.707
Ce Ho H
1 3 8
direct
0.000 0.000 0.000 Ce
0.500 0.500 0.000 Ho
0.500 0.000 0.500 Ho
0.000 0.500 0.500 Ho
0.258 0.258 0.742 H
0.258 0.742 0.258 H
0.742 0.258 0.258 H
0.742 0.742 0.742 H
0.742 0.742 0.258 H
0.742 0.258 0.742 H
0.258 0.742 0.742 H
0.258 0.258 0.258 H

| no. | density (Mg/m³) |
| --- | --- |
| 1 | 8.6 |
| 2 | 8.4 |
| 3 | 8.4 |
| 4 | 7.7 |
| 5 | 6.9 |
| 6 | 7.5 |